B3MoAu: single point on PBEsol structure, SCAN.

Calculated values
Energy in eV/cell: -118.35
Space-group type: Pm-3m
Crystal system: cubic
M_tot in μB/f.u.: 0.0
E_form in eV per atom: 1.595

Geometry as extended XYZ:
```
5
Lattice="-0.3045 4.0350 0.7070 -2.9164 0.2843 -2.8789 -2.8768 -0.7154 2.8436" Properties=species:S:1:pos:R:3 pbc="T T T"
Mo 0.0000 0.0000 0.0000
B -1.4582 0.1422 -1.4394
B -1.4384 -0.3577 1.4218
B -0.1523 2.0175 0.3535
Au -3.0489 1.8020 0.3359
```